1.
First-principles (PBE-GGA) data for a relaxed MgGaCoRu crystal, as listed in Alexandria.

E ... -5.36 eV per atom
Magnetization ... 0.6 μB per formula unit

The structure in POSCAR format:
```
MgGaCoRu
1.0
4.254 0.000 0.000
2.127 3.684 0.000
2.127 1.228 3.474
Ru Mg Co Ga
1 1 1 1
Direct
0.750 0.750 0.750 Ru
0.500 0.500 0.500 Mg
0.250 0.250 0.250 Co
0.000 0.000 0.000 Ga
```

***

2.
First-principles (PBE-GGA) data for a relaxed MgGaCoRu2 crystal, as listed in Alexandria.

E ... -5.16 eV per atom
Magnetization ... 3.9 μB per formula unit

The structure in POSCAR format:
```
MgGaCoRu2
1.0
4.585 0.000 0.000
0.000 4.341 0.000
0.000 0.000 4.585
Ru Mg Co Ga
2 1 1 1
Direct
0.000 0.000 0.500 Ru
0.500 0.000 0.000 Ru
0.500 0.500 0.500 Mg
0.000 0.500 0.000 Co
0.000 0.000 0.000 Ga
```

***

3.
First-principles (PBE-GGA) data for a relaxed Mg2GaCo5Si2 crystal, as listed in Alexandria.

E ... -5.55 eV per atom
Formation energy (no corrections) ... -28.16 kJ/mol of atoms
Magnetization ... 0.0 μB per formula unit

The structure in POSCAR format:
```
Mg2GaCo5Si2
1.0
3.059 0.000 0.000
0.000 9.135 0.000
0.000 0.000 9.135
Mg Ga Co Si
4 2 10 4
Direct
0.000 0.672 0.172 Mg
0.000 0.328 0.828 Mg
0.000 0.172 0.328 Mg
0.000 0.828 0.672 Mg
0.000 0.000 0.000 Ga
0.000 0.500 0.500 Ga
0.500 0.204 0.068 Co
0.500 0.796 0.932 Co
0.500 0.068 0.796 Co
0.500 0.704 0.432 Co
0.500 0.932 0.204 Co
0.500 0.296 0.568 Co
0.500 0.568 0.704 Co
0.500 0.432 0.296 Co
0.500 0.500 0.000 Co
0.500 0.000 0.500 Co
0.000 0.127 0.627 Si
0.000 0.873 0.373 Si
0.000 0.627 0.873 Si
0.000 0.373 0.127 Si
```

***

4.
First-principles (PBE-GGA) data for a relaxed Mg2Ga2Co5Si crystal, as listed in Alexandria.

E ... -5.15 eV per atom
Formation energy (no corrections) ... -12.65 kJ/mol of atoms
Magnetization ... 0.7 μB per formula unit

The structure in POSCAR format:
```
Mg2Ga2Co5Si
1.0
2.929 0.000 0.000
0.000 9.503 0.000
0.000 0.000 9.503
Mg Ga Co Si
4 4 10 2
Direct
0.000 0.668 0.168 Mg
0.000 0.332 0.832 Mg
0.000 0.168 0.332 Mg
0.000 0.832 0.668 Mg
0.000 0.134 0.634 Ga
0.000 0.866 0.366 Ga
0.000 0.634 0.866 Ga
0.000 0.366 0.134 Ga
0.500 0.183 0.060 Co
0.500 0.817 0.940 Co
0.500 0.060 0.817 Co
0.500 0.683 0.440 Co
0.500 0.940 0.183 Co
0.500 0.317 0.560 Co
0.500 0.560 0.683 Co
0.500 0.440 0.317 Co
0.500 0.500 0.000 Co
0.500 0.000 0.500 Co
0.000 0.000 0.000 Si
0.000 0.500 0.500 Si
```

***

5.
First-principles (PBE-GGA) data for a relaxed MgTaGa4Co2 crystal, as listed in Alexandria.

E ... -4.94 eV per atom
Magnetization ... 0.1 μB per formula unit

The structure in POSCAR format:
```
MgTaGa4Co2
1.0
3.621 0.000 0.000
0.000 3.621 0.000
0.000 0.000 10.084
Mg Ta Ga Co
1 1 4 2
Direct
0.000 0.000 0.000 Mg
0.000 0.000 0.500 Ta
0.000 0.500 0.227 Ga
0.500 0.000 0.773 Ga
0.500 0.000 0.227 Ga
0.000 0.500 0.773 Ga
0.500 0.500 0.390 Co
0.500 0.500 0.610 Co
```

***

6.
First-principles (PBE-GGA) data for a relaxed TbMgGaCo crystal, as listed in Alexandria.

E ... -4.26 eV per atom
Magnetization ... 1.1 μB per formula unit

The structure in POSCAR format:
```
TbMgGaCo
1.0
-2.628 3.545 1.709
-0.890 0.261 4.640
2.016 3.395 2.608
Co Mg Tb Ga
1 1 1 1
Direct
0.750 0.750 0.750 Co
0.500 0.500 0.500 Mg
0.000 0.000 0.000 Tb
0.250 0.250 0.250 Ga
```

***

7.
First-principles (PBE-GGA) data for a relaxed ThMgGaCo crystal, as listed in Alexandria.

E ... -4.93 eV per atom
Magnetization ... 0.4 μB per formula unit

The structure in POSCAR format:
```
ThMgGaCo
1.0
-3.215 -1.153 -3.406
1.395 -0.389 -4.601
0.172 -4.334 -2.110
Mg Co Ga Th
1 1 1 1
Direct
0.500 0.500 0.500 Mg
0.750 0.750 0.750 Co
0.250 0.250 0.250 Ga
0.000 0.000 0.000 Th
```

***

8.
First-principles (PBE-GGA) data for a relaxed MgTlGa2Co crystal, as listed in Alexandria.

E ... -3.48 eV per atom
Magnetization ... 0.0 μB per formula unit

The structure in POSCAR format:
```
MgTlGa2Co
1.0
4.606 0.000 0.000
0.000 4.606 0.000
0.000 0.000 4.973
Tl Co Mg Ga
1 1 1 2
Direct
0.500 0.500 0.500 Tl
0.000 0.000 0.000 Co
0.000 0.000 0.500 Mg
0.000 0.500 0.000 Ga
0.500 0.000 0.000 Ga
```